The following is a GGA-PBE calculation of FeSn2As2 after structural relaxation, from Alexandria via LeMat-Bulk.

The space group is I4/mmm (No. 139) and the conventional cell measures 3.561, 3.561 and 17.408 Å, with angles of 90.00, 90.00 and 90.00 degrees. Symmetry generates all atoms from Fe at (0.000, 0.000, 0.000), Sn at (0.000, 0.000, 0.413) and As at (0.000, 0.500, 0.250).

The energy relative to the elements comes out at 407 meV per atom. The total energy is -0.1744 hartree per atom. As for the energy relative to the lowest polymorph listed for this composition: 0 meV/atom. For the density, the calculation gives 6.667 g/cm3. For the density of states at the Fermi level, the calculation gives 4.44 states/eV/f.u.